Density functional theory data (PBE with a Hubbard U) for a relaxed YMnIrO6 crystal.

## Properties
Fermi-level density of states: 7.6 states/eV/cell
uncorrected energy: -133.1 eV for the cell shown

Cell and atoms, written as CIF:
```
data_YMnIrO6
_cell_length_a 5.4301
_cell_length_b 5.4301
_cell_length_c 8.7791
_cell_angle_alpha 90.00
_cell_angle_beta 90.00
_cell_angle_gamma 120.00
_symmetry_space_group_name_H-M 'P 1'
_symmetry_Int_Tables_number 1
loop_
_symmetry_equiv_pos_as_xyz
'x,y,z'
loop_
_atom_site_label
_atom_site_type_symbol
_atom_site_fract_x
_atom_site_fract_y
_atom_site_fract_z
Y1 Y 0.3333 0.6667 0.2500
Y2 Y 0.6667 0.3333 0.7500
Mn1 Mn 0.0000 0.0000 0.0000
Mn2 Mn 0.0000 0.0000 0.5000
Ir1 Ir 0.3333 0.6667 0.7500
Ir2 Ir 0.6667 0.3333 0.2500
O1 O 0.0440 0.3657 0.6253
O2 O 0.0440 0.6783 0.8747
O3 O 0.3217 0.3657 0.8747
O4 O 0.3217 0.9560 0.6253
O5 O 0.3657 0.0440 0.1253
O6 O 0.3657 0.3217 0.3747
O7 O 0.6343 0.6783 0.6253
O8 O 0.6343 0.9560 0.8747
O9 O 0.6783 0.0440 0.3747
O10 O 0.6783 0.6343 0.1253
O11 O 0.9560 0.3217 0.1253
O12 O 0.9560 0.6343 0.3747
```